Below is a relaxed structure of CdAgRhF6, with properties calculated at the PBE level.

Unit cell a=5.1572 b=5.1572 c=10.3999 alpha=90.00 beta=90.00 gamma=90.00
Closest atoms and distances in Å follow each position.
Space group P4_2nm (No. 102)
Unique sites:
Cd1 0.0000 0.0000 0.0000 (multiplicity 2)  6 F 2.28-2.32
Ag1 0.0000 0.0000 0.3274 (multiplicity 2)  6 F 2.37-2.43
Rh1 0.0000 0.0000 0.6637 (multiplicity 2)  6 F 2.02-2.03
F1 0.1759 0.1759 0.8139 (multiplicity 4)  1 Rh 2.02
F2 0.1892 0.1892 0.5201 (multiplicity 4)  1 Rh 2.03, 1 Cd 2.28
F3 0.2221 0.2221 0.1565 (multiplicity 4)  1 Rh 2.03

## Properties
formation energy without anion corrections	-1633	meV per atom